[1]
Entry from Alexandria via LeMat-Bulk: Dy6Al2In after structural relaxation (PBE).

D(E_F): 6.70 states/eV/f.u.
ΔE to the lowest computed polymorph: 0 meV/atom
symmetry: Immm
crystal system: orthorhombic
energy of formation from the pure elements: -0.2992 eV per atom

Unit cell a=8.709 b=8.709 c=8.709 alpha=112.53 beta=111.38 gamma=104.61
Sites, in units of the cell vectors:
Dy (0.030, 0.821, 0.209)
Dy (0.243, 0.541, 0.298)
Dy (0.243, 0.945, 0.702)
Dy (0.275, 0.315, 0.590)
Dy (0.275, 0.685, 0.960)
Dy (0.389, 0.179, 0.209)
Dy (0.611, 0.821, 0.791)
Dy (0.725, 0.315, 0.040)
Dy (0.725, 0.685, 0.410)
Dy (0.757, 0.055, 0.298)
Dy (0.757, 0.459, 0.702)
Dy (0.970, 0.179, 0.791)
Al (0.000, 0.142, 0.142)
Al (0.000, 0.858, 0.858)
Al (0.378, 0.378, 0.000)
Al (0.622, 0.622, 0.000)
In (0.000, 0.500, 0.500)
In (0.500, 0.000, 0.500)


[2]
Entry from Alexandria via LeMat-Bulk: Dy6AlIn2 after structural relaxation (PBE).

D(E_F): 12.85 states/eV/f.u.
symmetry: Immm
crystal system: orthorhombic
energy of formation from the pure elements: -0.0707 eV per atom

Unit cell a=8.899 b=8.899 c=8.899 alpha=146.46 beta=131.81 gamma=59.99
Sites, in units of the cell vectors:
Dy (0.082, 0.337, 0.745)
Dy (0.241, 0.000, 0.241)
Dy (0.409, 0.663, 0.745)
Dy (0.591, 0.337, 0.255)
Dy (0.759, 0.000, 0.759)
Dy (0.918, 0.663, 0.255)
Al (0.000, 0.500, 0.500)
In (0.334, 0.834, 0.500)
In (0.666, 0.166, 0.500)


[3]
Entry from Alexandria via LeMat-Bulk: Dy5Al3In after structural relaxation (PBE).

D(E_F): 7.13 states/eV/f.u.
symmetry: P6_3/mcm
crystal system: hexagonal
energy of formation from the pure elements: -0.3346 eV per atom

Unit cell a=9.070 b=9.070 c=6.490 alpha=90.00 beta=90.00 gamma=120.00
Sites, in units of the cell vectors:
Dy (0.000, 0.299, 0.250)
Dy (0.000, 0.701, 0.750)
Dy (0.299, 0.000, 0.250)
Dy (0.299, 0.299, 0.750)
Dy (0.333, 0.667, 0.000)
Dy (0.333, 0.667, 0.500)
Dy (0.667, 0.333, 0.000)
Dy (0.667, 0.333, 0.500)
Dy (0.701, 0.000, 0.750)
Dy (0.701, 0.701, 0.250)
Al (0.000, 0.365, 0.750)
Al (0.000, 0.635, 0.250)
Al (0.365, 0.000, 0.750)
Al (0.365, 0.365, 0.250)
Al (0.635, 0.000, 0.250)
Al (0.635, 0.635, 0.750)
In (0.000, 0.000, 0.000)
In (0.000, 0.000, 0.500)


[4]
Entry from Alexandria via LeMat-Bulk: Dy3AlIn after structural relaxation (PBE).

D(E_F): 4.02 states/eV/f.u.
ΔE to the lowest computed polymorph: 0 meV/atom
symmetry: Cmcm
crystal system: orthorhombic
energy of formation from the pure elements: -0.3307 eV per atom

Unit cell a=11.267 b=11.267 c=4.917 alpha=90.00 beta=90.00 gamma=154.80
Sites, in units of the cell vectors:
Dy (0.060, 0.940, 0.750)
Dy (0.250, 0.750, 0.750)
Dy (0.439, 0.561, 0.750)
Dy (0.561, 0.439, 0.250)
Dy (0.750, 0.250, 0.250)
Dy (0.940, 0.060, 0.250)
Al (0.155, 0.845, 0.250)
Al (0.845, 0.155, 0.750)
In (0.345, 0.655, 0.250)
In (0.655, 0.345, 0.750)


[5]
Entry from Alexandria via LeMat-Bulk: DyAl4In after structural relaxation (PBE).

D(E_F): 4.80 states/eV/f.u.
symmetry: F-43m
crystal system: cubic
energy of formation from the pure elements: -0.1833 eV per atom

Unit cell a=5.564 b=5.564 c=5.564 alpha=60.00 beta=60.00 gamma=60.00
Sites, in units of the cell vectors:
Dy (0.000, 0.000, 0.000)
Al (0.374, 0.374, 0.374)
Al (0.374, 0.374, 0.877)
Al (0.374, 0.877, 0.374)
Al (0.877, 0.374, 0.374)
In (0.750, 0.750, 0.750)


[6]
Entry from Alexandria via LeMat-Bulk: DyAlIn2 after structural relaxation (PBE).

D(E_F): 1.87 states/eV/f.u.
ΔE to the lowest computed polymorph: 225 meV/atom
symmetry: R-3m
crystal system: trigonal
energy of formation from the pure elements: -0.1491 eV per atom

Unit cell a=5.950 b=5.950 c=5.950 alpha=45.82 beta=45.82 gamma=45.82
Sites, in units of the cell vectors:
Dy (0.000, 0.000, 0.000)
Al (0.500, 0.500, 0.500)
In (0.229, 0.229, 0.229)
In (0.771, 0.771, 0.771)